No. 1
CuTeCl2 after structural relaxation, computed with PBE.

Cell: 6.297 6.297 6.297 Å, 150.57 100.24 87.21°
Site moments in Bohr magnetons follow the coordinates.
Positions (direct):
Cu  0.750  0.250  0.500  -0.27
Cl  0.573  0.573  0.000  -0.07
Cl  0.927  0.927  0.000  -0.07
Te  0.250  0.750  0.500  0.44

Polymorph energy (0 for the lowest one) in meV per atom: 221
Crystal system: orthorhombic
Space-group type: Immm, No. 71

No. 2
Cu3Te2Cl after structural relaxation, computed with PBE.

Cell: 4.288 9.918 7.797 Å, 91.37 108.28 103.30°
Positions (direct):
Cu  0.645  0.743  0.534
Cu  0.355  0.257  0.466
Cl  0.344  0.079  0.673
Cu  0.239  0.989  0.129
Cl  0.656  0.921  0.327
Cu  0.730  0.219  0.286
Cu  0.270  0.781  0.714
Te  0.129  0.234  0.098
Te  0.007  0.618  0.404
Te  0.993  0.382  0.596
Cu  0.761  0.011  0.871
Te  0.871  0.766  0.902

Crystal system: triclinic
Space-group type: P-1, No. 2

No. 3
Cu4Te3Cl after structural relaxation, computed with PBE.

Cell: 6.969 7.140 7.825 Å, 90.00 90.00 90.00°
Positions (direct):
Cu  0.131  0.327  0.242
Cu  0.143  0.833  0.500
Cu  0.132  0.848  0.000
Cu  0.631  0.673  0.742
Cu  0.643  0.167  0.000
Te  0.994  0.658  0.750
Cu  0.632  0.152  0.500
Te  0.495  0.841  0.000
Te  0.494  0.342  0.750
Cu  0.131  0.327  0.758
Te  0.494  0.342  0.250
Cu  0.631  0.673  0.258
Cl  0.995  0.157  0.000
Te  0.995  0.159  0.500
Cl  0.495  0.843  0.500
Te  0.994  0.658  0.250

Crystal system: orthorhombic
Space-group type: Pmn2_1, No. 31

No. 4
CuTe2Cl after structural relaxation, computed with PBE.

Cell: 5.939 5.939 5.939 Å, 144.22 104.48 86.49°
Positions (direct):
Te  0.220  0.720  0.500
Te  0.960  0.960  0.000
Cl  0.580  0.580  0.000
Cu  0.740  0.240  0.500

Crystal system: orthorhombic
Space-group type: Imm2, No. 44

No. 5
CuTe2Cl after structural relaxation, computed with PBE.

Cell: 3.961 4.691 6.175 Å, 64.80 90.00 90.00°
Positions (direct):
Te  0.000  0.940  0.923
Cl  0.500  0.250  0.250
Cu  0.500  0.750  0.750
Te  0.000  0.560  0.577

Crystal system: monoclinic
Space-group type: P2/m, No. 10

No. 6
Cu4TeCl2 after structural relaxation, computed with PBE.

Cell: 5.055 5.055 7.323 Å, 69.81 69.81 90.00°
Positions (direct):
Cu  0.192  0.192  0.616
Cl  0.642  0.642  0.717
Cu  0.808  0.808  0.384
Cu  0.000  0.500  0.000
Cl  0.358  0.358  0.283
Cu  0.500  0.000  0.000
Te  0.000  0.000  0.000

Crystal system: tetragonal
Space-group type: I4/mmm, No. 139

No. 7
Cu12Te3Cl5 after structural relaxation, computed with PBE.

Cell: 12.817 12.817 12.817 Å, 109.47 109.47 109.47°
Positions (direct):
Cu  0.421  0.350  0.581
Cu  0.429  0.660  0.079
Cu  0.850  0.269  0.429
Cu  0.919  0.079  0.650
Cl  0.000  0.000  0.000
Te  0.875  0.125  0.250
Cu  0.429  0.769  0.850
Te  0.125  0.875  0.750
Cu  0.650  0.071  0.231
Cu  0.071  0.650  0.731
Te  0.125  0.250  0.875
Cu  0.419  0.269  0.340
Cu  0.921  0.840  0.571
Cu  0.079  0.919  0.150
Cl  0.875  0.625  0.750
Te  0.875  0.750  0.125
Cu  0.269  0.419  0.840
Te  0.625  0.375  0.750
Cu  0.571  0.231  0.150
Cu  0.769  0.340  0.919
Cu  0.579  0.929  0.660
Cu  0.921  0.081  0.850
Cu  0.340  0.769  0.419
Te  0.250  0.625  0.875
Cu  0.581  0.731  0.660
Te  0.375  0.750  0.625
Cu  0.929  0.350  0.269
Cl  0.000  0.500  0.000
Cu  0.081  0.160  0.231
Cl  0.500  0.000  0.500
Te  0.750  0.875  0.625
Cl  0.375  0.125  0.750
Cl  0.750  0.625  0.375
Cu  0.071  0.421  0.840
Cu  0.350  0.421  0.081
Cu  0.769  0.429  0.350
Cu  0.350  0.929  0.769
Cu  0.731  0.150  0.071
Cl  0.500  0.500  0.500
Cu  0.340  0.571  0.421
Cl  0.375  0.250  0.125
Te  0.250  0.125  0.375
Cu  0.581  0.850  0.421
Cu  0.231  0.660  0.081
Cu  0.150  0.731  0.571
Cu  0.231  0.571  0.650
Cu  0.660  0.231  0.581
Cu  0.571  0.340  0.921
Cl  0.625  0.875  0.250
Cl  0.000  0.000  0.500
Cu  0.150  0.419  0.079
Cu  0.731  0.581  0.160
Cu  0.160  0.079  0.929
Cu  0.079  0.160  0.429
Cl  0.875  0.250  0.625
Cl  0.500  0.500  0.000
Cu  0.929  0.579  0.160
Cl  0.125  0.750  0.375
Cl  0.500  0.000  0.000
Te  0.375  0.625  0.250
Cl  0.250  0.375  0.625
Cl  0.000  0.500  0.500
Cu  0.081  0.921  0.350
Cu  0.840  0.919  0.269
Cu  0.421  0.071  0.340
Te  0.625  0.250  0.375
Cu  0.840  0.921  0.071
Cu  0.660  0.429  0.579
Cu  0.650  0.579  0.919
Cl  0.750  0.125  0.875
Cu  0.919  0.840  0.769
Te  0.750  0.375  0.125
Cu  0.579  0.650  0.419
Cl  0.125  0.375  0.250
Cu  0.850  0.581  0.921
Cl  0.250  0.875  0.125
Cu  0.160  0.081  0.731
Cl  0.625  0.750  0.875
Cu  0.419  0.150  0.579
Cu  0.269  0.850  0.929

Crystal system: cubic
Space-group type: Ia-3d, No. 230

No. 8
CuTe2Cl after structural relaxation, computed with PBE.

Cell: 4.765 6.495 6.583 Å, 123.06 114.93 107.89°
Positions (direct):
Cu  0.579  0.154  0.205
Te  0.777  0.605  0.768
Cl  0.850  0.995  0.443
Te  0.293  0.746  0.583

Crystal system: triclinic
Space-group type: P1, No. 1

No. 9
CuTe2Cl after structural relaxation, computed with PBE.

Cell: 3.897 8.010 7.773 Å, 86.84 75.48 77.29°
Positions (direct):
Te  0.801  0.385  0.764
Cu  0.264  0.250  0.473
Te  0.434  0.115  0.764
Te  0.566  0.885  0.236
Te  0.199  0.615  0.236
Cl  0.146  0.750  0.709
Cl  0.854  0.250  0.291
Cu  0.736  0.750  0.527

Crystal system: monoclinic
Space-group type: C2/c, No. 15

No. 10
CuTe2Cl after structural relaxation, computed with PBE.

Cell: 8.594 8.594 8.594 Å, 25.85 25.85 25.85°
Positions (direct):
Te  0.017  0.017  0.017
Cu  0.751  0.751  0.751
Te  0.269  0.269  0.269
Cl  0.463  0.463  0.463

Crystal system: trigonal
Space-group type: R3m, No. 160

No. 11
CuTeCl2 after structural relaxation, computed with PBE.

Cell: 5.010 5.010 5.010 Å, 60.00 60.00 60.00°
Site moments in Bohr magnetons follow the coordinates.
Positions (direct):
Cl  0.750  0.750  0.750  0.14
Cl  0.250  0.250  0.250  0.14
Te  0.500  0.500  0.500  0.57
Cu  0.000  0.000  0.000  0.06

Polymorph energy (0 for the lowest one) in meV per atom: 809
Crystal system: cubic
Space-group type: Fm-3m, No. 225

No. 12
CuTe2Cl after structural relaxation, computed with PBE.

Cell: 5.162 8.242 11.401 Å, 103.50 90.00 90.00°
Positions (direct):
Cl  0.388  0.212  0.127
Cl  0.888  0.288  0.373
Te  0.703  0.060  0.645
Te  0.523  0.370  0.641
Cu  0.361  0.922  0.752
Cl  0.112  0.712  0.627
Te  0.023  0.130  0.859
Cl  0.612  0.788  0.873
Te  0.297  0.940  0.355
Cu  0.639  0.078  0.248
Te  0.797  0.560  0.145
Te  0.977  0.870  0.141
Te  0.203  0.440  0.855
Te  0.477  0.630  0.359
Cu  0.861  0.578  0.748
Cu  0.139  0.422  0.252

Crystal system: monoclinic
Space-group type: P2_1/c, No. 14

no.,ΔE_f (raw) (meV per atom)
1,-103
2,-165
3,-93
4,6
5,-187
6,28
7,-11
8,-206
9,-99
10,-91
11,485
12,-270